Compound: CsTe2SeN
Source: Alexandria via LeMat-Bulk
Functional: GGA-PBE
Structure: relaxed

Results
As for the spin magnetization: 0.00 μB/atom. The calculation puts the total energy at -3.309 eV/atom.

abc: 6.7150 6.7150 3.6049
angles: 90.00 90.00 90.00
With the nearest neighbours (Å) after each atom.
Fractional positions:
Cs (0.0000, 0.0000, 0.0000)  2 Cs 3.60, 8 Te 3.81
Te (0.0000, 0.5000, 0.5000)  2 Se 3.36, 2 Te 3.60
Te (0.5000, 0.0000, 0.5000)  2 Se 3.36, 2 Te 3.60
Se (0.5000, 0.5000, 0.5000)  2 N 1.80
N (0.5000, 0.5000, 0.0000)  2 Se 1.80